Material: SmErLuIn
Method: DFT, PBE
State: relaxed

```
4
Lattice="5.435 0.000 0.000 2.717 4.706 0.000 2.717 1.569 4.437" Properties=species:S:1:pos:R:3 pbc="T T T"
Lu 8.152 4.706 3.328
In 2.717 1.569 1.109
Sm 5.435 3.138 2.219
Er 0.000 0.000 0.000
```

Results
Energy of formation from the pure elements: -0.14 eV/atom
M_tot: 0.03 μB per cell

Material: La2Pm2IrPt2
Method: DFT, PBE
State: relaxed

```
7
Lattice="-1.420 1.069 3.631 -6.855 -2.884 0.420 -0.393 -7.462 2.046" Properties=species:S:1:pos:R:3 pbc="T T T"
La -7.499 -7.850 3.885
La -1.170 -1.426 2.213
Pm -4.364 -5.785 4.500
Pm -4.304 -3.491 1.598
Ir 0.000 0.000 0.000
Pt -3.058 -3.110 4.223
Pt -5.610 -6.166 1.875
```

Results
Energy of formation from the pure elements: -0.87 eV/atom
M_tot: 0.00 μB per cell

In order of appearance, calculated volume = 113.5 200.4 Å³/f.u..